# 1
## Be2TcPtI (GGA-PBE)

Data for a relaxed Be2TcPtI crystal.

a = 4.4937 Å, b = 5.1119 Å, c = 4.4937 Å
α = 90.00°, β = 90.00°, γ = 90.00°
Closest atoms and distances in Å follow each position.
Positions (direct):
I (0.0000, 0.0000, 0.0000)  4 Be 2.25
Be (0.0000, 0.0000, 0.5000)  2 I 2.25
Be (0.5000, 0.0000, 0.0000)  2 I 2.25
Tc (0.5000, 0.5000, 0.5000)  4 Pt 3.18, 8 Be 3.40
Pt (0.0000, 0.5000, 0.0000)  2 I 2.56

E, eV/atom: -3.124
DOS(E_F), states/eV/cell: 4.15
Energy relative to the elements, uncorrected, eV/atom: 1.9577

***

# 2
## BeTePtI2 (GGA-PBE)

Data for a relaxed BeTePtI2 crystal.

a = 4.9863 Å, b = 4.9863 Å, c = 5.1394 Å
α = 90.00°, β = 90.00°, γ = 90.00°
Closest atoms and distances in Å follow each position.
Positions (direct):
I (0.0000, 0.5000, 0.0000)  2 Be 2.49
I (0.5000, 0.0000, 0.0000)  2 Be 2.49
Be (0.0000, 0.0000, 0.0000)  4 I 2.49, 2 Te 2.57
Te (0.0000, 0.0000, 0.5000)  2 Be 2.57
Pt (0.5000, 0.5000, 0.5000)  4 Te 3.53, 8 I 3.58

E, eV/atom: -2.402
Distance to the lowest polymorph of the same formula, meV per atom: 42.6
DOS(E_F), states/eV/cell: 6.23
Energy relative to the elements, uncorrected, eV/atom: 0.7996

***

# 3
## BeTePtI2 (GGA-PBE)

Data for a relaxed BeTePtI2 crystal.

a = 5.5395 Å, b = 5.5395 Å, c = 5.2615 Å
α = 90.00°, β = 90.00°, γ = 90.00°
Closest atoms and distances in Å follow each position.
Positions (direct):
I (0.0000, 0.5000, 0.0000)  2 Pt 2.77
I (0.5000, 0.0000, 0.0000)  2 Pt 2.77
Be (0.5000, 0.5000, 0.5000)  8 I 3.82, 4 Te 3.92
Te (0.0000, 0.0000, 0.5000)  2 Pt 2.63
Pt (0.0000, 0.0000, 0.0000)  2 Te 2.63, 4 I 2.77

E, eV/atom: -2.445
Distance to the lowest polymorph of the same formula, meV per atom: 0.0
DOS(E_F), states/eV/cell: 6.22
Energy relative to the elements, uncorrected, eV/atom: 0.7569